# 1
Entry from Alexandria via LeMat-Bulk: a relaxed structure of K2GaHg12 (PBE).

Unit cell a=7.1254 b=7.1254 c=18.1132 alpha=90.00 beta=90.00 gamma=90.00
With the nearest neighbours (Å) after each atom.
Fractional positions:
1 K 0.5000 0.0000 0.2438  14 Hg 3.72-4.04
2 K 0.0000 0.5000 0.2438  14 Hg 3.72-4.04
3 K 0.0000 0.5000 0.7562  14 Hg 3.72-4.04
4 K 0.5000 0.0000 0.7562  14 Hg 3.72-4.04
5 Ga 0.5000 0.0000 0.0000  8 Hg 2.97-2.98
6 Ga 0.0000 0.5000 0.0000  8 Hg 2.97-2.98
7 Hg 0.5000 0.5000 0.8161  5 Hg 3.00-3.07
8 Hg 0.0000 0.0000 0.8161  5 Hg 3.00-3.07
9 Hg 0.7507 0.7493 0.9125  2 Ga 2.97-2.98, 3 Hg 3.07-3.17
10 Hg 0.2507 0.7507 0.9125  2 Ga 2.97-2.98, 3 Hg 3.07-3.17
11 Hg 0.0000 0.0000 0.3493  5 Hg 3.00-3.08
12 Hg 0.2493 0.7493 0.0875  2 Ga 2.97-2.98, 3 Hg 3.07-3.17
13 Hg 0.8433 0.3433 0.5676  6 Hg 3.08-3.31
14 Hg 0.5000 0.5000 0.3493  5 Hg 3.00-3.08
15 Hg 0.2493 0.2507 0.9125  2 Ga 2.97-2.98, 3 Hg 3.07-3.17
16 Hg 0.7493 0.7507 0.0875  2 Ga 2.97-2.98, 3 Hg 3.07-3.17
17 Hg 0.3433 0.1567 0.5676  6 Hg 3.08-3.31
18 Hg 0.6567 0.1567 0.4324  6 Hg 3.08-3.31
19 Hg 0.0000 0.0000 0.6507  5 Hg 3.00-3.08
20 Hg 0.1567 0.3433 0.4324  6 Hg 3.08-3.31
21 Hg 0.2507 0.2493 0.0875  2 Ga 2.97-2.98, 3 Hg 3.07-3.17
22 Hg 0.8433 0.6567 0.4324  6 Hg 3.08-3.31
23 Hg 0.6567 0.8433 0.5676  6 Hg 3.08-3.31
24 Hg 0.0000 0.0000 0.1839  5 Hg 3.00-3.07
25 Hg 0.1567 0.6567 0.5676  6 Hg 3.08-3.31
26 Hg 0.5000 0.5000 0.6507  5 Hg 3.00-3.08
27 Hg 0.7493 0.2493 0.9125  2 Ga 2.97-2.98, 3 Hg 3.07-3.17
28 Hg 0.5000 0.5000 0.1839  5 Hg 3.00-3.07
29 Hg 0.3433 0.8433 0.4324  6 Hg 3.08-3.31
30 Hg 0.7507 0.2507 0.0875  2 Ga 2.97-2.98, 3 Hg 3.07-3.17

Values from the calculation:
- Space group: No. 125
- Formation energy: -0.112 eV/atom

***

# 2
Entry from Alexandria via LeMat-Bulk: a relaxed structure of LaTb12Pm2 (PBE).

Unit cell a=6.6998 b=6.6998 c=25.0483 alpha=90.00 beta=90.00 gamma=116.34
With the nearest neighbours (Å) after each atom.
Fractional positions:
1 La 0.5000 0.0000 0.9990  8 Tb 3.49-3.76, 2 La 3.53
2 La 0.0000 0.5000 0.0010  8 Tb 3.49-3.76, 2 La 3.53
3 Tb 0.5000 0.5000 0.7982  7 Tb 3.18-3.53
4 Tb 0.0000 0.0000 0.7982  7 Tb 3.18-3.53
5 Tb 0.7520 0.7480 0.9188  2 La 3.49-3.50, 8 Tb 3.50-3.59
6 Tb 0.2514 0.7514 0.8686  8 Tb 3.35-3.59, 1 La 3.71
7 Tb 0.0000 0.0000 0.3287  5 Tb 3.18-3.53
8 Tb 0.2486 0.7486 0.1314  8 Tb 3.35-3.59, 1 La 3.71
9 Tb 0.7627 0.2627 0.5834  7 Tb 3.30-3.60
10 Tb 0.5000 0.5000 0.3287  5 Tb 3.18-3.53
11 Tb 0.2480 0.2520 0.9188  2 La 3.49-3.50, 8 Tb 3.50-3.59
12 Tb 0.7480 0.7520 0.0812  2 La 3.49-3.50, 8 Tb 3.50-3.59
13 Tb 0.2653 0.2347 0.5606  5 Tb 3.06-3.30
14 Tb 0.7373 0.2373 0.4166  7 Tb 3.30-3.60
15 Tb 0.0000 0.0000 0.6713  5 Tb 3.18-3.53
16 Tb 0.2347 0.2653 0.4394  5 Tb 3.06-3.30
17 Tb 0.2520 0.2480 0.0812  2 La 3.49-3.50, 8 Tb 3.50-3.59
18 Tb 0.7653 0.7347 0.4394  5 Tb 3.06-3.30
19 Tb 0.7347 0.7653 0.5606  5 Tb 3.06-3.30
20 Tb 0.0000 0.0000 0.2018  7 Tb 3.18-3.53
21 Tb 0.2373 0.7373 0.5834  7 Tb 3.30-3.60
22 Tb 0.5000 0.5000 0.6713  5 Tb 3.18-3.53
23 Tb 0.7486 0.2486 0.8686  8 Tb 3.35-3.59, 1 La 3.71
24 Tb 0.5000 0.5000 0.2018  7 Tb 3.18-3.53
25 Tb 0.2627 0.7627 0.4166  7 Tb 3.30-3.60
26 Tb 0.7514 0.2514 0.1314  8 Tb 3.35-3.59, 1 La 3.71
27 Pm 0.5000 0.0000 0.2678  2 Pm 3.54, 10 Tb 3.68-3.85
28 Pm 0.0000 0.5000 0.2732  2 Pm 3.54, 8 Tb 3.63-3.80
29 Pm 0.0000 0.5000 0.7322  2 Pm 3.54, 10 Tb 3.68-3.85
30 Pm 0.5000 0.0000 0.7268  2 Pm 3.54, 8 Tb 3.63-3.80

Values from the calculation:
- Space group: No. 67
- Formation energy: 0.162 eV/atom

***

# 3
Entry from Alexandria via LeMat-Bulk: a relaxed structure of HgRu2O8 (PBE).

Unit cell a=7.3783 b=6.1594 c=6.1594 alpha=56.35 beta=75.06 gamma=75.06
With the nearest neighbours (Å) after each atom.
Fractional positions:
1 Hg 0.0000 0.0000 0.0000  4 O 2.85
2 Ru 0.7092 0.7868 0.7868  4 O 1.72-1.73
3 Ru 0.2908 0.2132 0.2132  4 O 1.72-1.73
4 O 0.2022 0.9176 0.3830  1 Ru 1.73
5 O 0.2022 0.3830 0.9176  1 Ru 1.73
6 O 0.7978 0.0824 0.6170  1 Ru 1.73
7 O 0.2031 0.3782 0.3782  1 Ru 1.72
8 O 0.7978 0.6170 0.0824  1 Ru 1.73
9 O 0.4648 0.8378 0.8378  1 Ru 1.72
10 O 0.5352 0.1622 0.1622  1 Ru 1.72
11 O 0.7969 0.6218 0.6218  1 Ru 1.72

Values from the calculation:
- Formation energy without anion corrections: -55.2 kJ/mol of atoms
- Space group: No. 12

***

# 4
Entry from Alexandria via LeMat-Bulk: a relaxed structure of LiCo4Ag (PBE).

Unit cell a=4.7946 b=4.7946 c=4.7946 alpha=60.00 beta=60.00 gamma=60.00
With the nearest neighbours (Å) after each atom.
Fractional positions:
1 Li 0.7500 0.7500 0.7500  12 Co 2.81, 4 Ag 2.94
2 Co 0.8743 0.3752 0.3752  6 Co 2.39-2.40
3 Co 0.3752 0.3752 0.8743  6 Co 2.39-2.40
4 Co 0.3752 0.8743 0.3752  6 Co 2.39-2.40
5 Co 0.3752 0.3752 0.3752  6 Co 2.39-2.40
6 Ag 0.0000 0.0000 0.0000  12 Co 2.81, 4 Li 2.94

Values from the calculation:
- Space group: No. 216
- Formation energy: 0.219 eV/atom

***

# 5
Entry from Alexandria via LeMat-Bulk: a relaxed structure of NdSmP2 (PBE).

Unit cell a=5.8492 b=5.8492 c=7.1679 alpha=114.08 beta=114.08 gamma=90.00
With the nearest neighbours (Å) after each atom.
Fractional positions:
1 Nd 0.7500 0.2500 0.5000  6 P 2.92-2.94
2 Nd 0.0000 0.0000 0.0000  6 P 2.92-2.94
3 Sm 0.5000 0.5000 0.0000  6 P 2.91-2.92
4 Sm 0.2500 0.7500 0.5000  6 P 2.91-2.92
5 P 0.7486 0.7486 0.4971  3 Sm 2.91-2.92, 3 Nd 2.92-2.94
6 P 0.4986 0.9986 0.9971  3 Sm 2.91-2.92, 3 Nd 2.92-2.94
7 P 0.2514 0.2514 0.5029  3 Sm 2.91-2.92, 3 Nd 2.92-2.94
8 P 0.0014 0.5014 0.0029  3 Sm 2.91-2.92, 3 Nd 2.92-2.94

Values from the calculation:
- Energy above the most stable polymorph in this dataset: 0.0 meV/atom
- Space group: No. 141
- Formation energy: -1.556 eV/atom

***

# 6
Entry from Alexandria via LeMat-Bulk: a relaxed structure of Rb2SiB (PBE).

Unit cell a=5.7642 b=5.7642 c=5.7642 alpha=60.00 beta=60.00 gamma=60.00
With the nearest neighbours (Å) after each atom.
Fractional positions:
1 Si 0.5000 0.5000 0.5000  8 Rb 3.53
2 B 0.0000 0.0000 0.0000  8 Rb 3.53
3 Rb 0.2500 0.2500 0.2500  4 Si 3.53, 4 B 3.53
4 Rb 0.7500 0.7500 0.7500  4 B 3.53, 4 Si 3.53

Values from the calculation:
- Formation energy without anion corrections: 139.3 kJ/mol of atoms
- Energy above the most stable polymorph in this dataset: 1054.6 meV/atom
- Space group: No. 225

***

no.,mass density (g cm⁻³)
1,9.2
2,7.7
3,4.0
4,7.5
5,5.9
6,2.6